# 1
Below is a relaxed structure of ZnHg2Ir, with properties calculated at the PBE level.

- Energy of formation: 420.7 meV per atom

a = 3.037 Å, b = 3.037 Å, c = 9.506 Å
α = 90.00°, β = 90.00°, γ = 122.09°
Sites, in units of the cell vectors:
Hg 0.000 0.000 0.000
Hg 0.000 0.000 0.500
Zn 0.500 0.500 0.750
Ir 0.500 0.500 0.250

# 2
Below is a relaxed structure of Li2CaBeCo, with properties calculated at the PBE level.

- Energy of formation: 291.0 meV per atom
- Polymorph energy (0 for the lowest one): 0 meV/atom

a = 4.498 Å, b = 4.226 Å, c = 4.498 Å
α = 90.00°, β = 90.00°, γ = 90.00°
Sites, in units of the cell vectors:
Be 0.000 0.000 0.000
Li 0.000 0.000 0.500
Li 0.500 0.000 0.000
Ca 0.500 0.500 0.500
Co 0.000 0.500 0.000

# 3
Below is a relaxed structure of SrErMg4, with properties calculated at the PBE level.

- Energy of formation: -39.2 meV per atom

a = 6.203 Å, b = 6.203 Å, c = 6.203 Å
α = 60.00°, β = 60.00°, γ = 60.00°
Sites, in units of the cell vectors:
Er 0.000 0.000 0.000
Mg 0.122 0.626 0.626
Mg 0.626 0.122 0.626
Mg 0.626 0.626 0.626
Mg 0.626 0.626 0.122
Sr 0.250 0.250 0.250

# 4
Below is a relaxed structure of Ac2CuSi, with properties calculated at the PBE level.

- Formation energy from raw total energies: -0.241 eV/atom

a = 3.902 Å, b = 5.370 Å, c = 5.370 Å
α = 90.00°, β = 90.00°, γ = 90.00°
Sites, in units of the cell vectors:
Cu 0.500 0.500 0.500
Si 0.500 0.000 0.000
Ac 0.000 0.500 0.000
Ac 0.000 0.000 0.500

# 5
Below is a relaxed structure of HoTmIn2, with properties calculated at the PBE level.

- Energy of formation: -438.4 meV per atom

a = 3.730 Å, b = 3.730 Å, c = 7.476 Å
α = 90.00°, β = 90.00°, γ = 90.00°
Sites, in units of the cell vectors:
Ho 0.500 0.500 0.500
Tm 0.500 0.500 0.000
In 0.000 0.000 0.247
In 0.000 0.000 0.753

# 6
Below is a relaxed structure of ZnBi3P, with properties calculated at the PBE level.

- Energy of formation: 597.9 meV per atom

a = 5.449 Å, b = 5.449 Å, c = 5.449 Å
α = 90.00°, β = 90.00°, γ = 90.00°
Sites, in units of the cell vectors:
P 0.000 0.000 0.000
Bi 0.500 0.000 0.000
Bi 0.000 0.000 0.500
Bi 0.000 0.500 0.000
Zn 0.500 0.500 0.500

# 7
Below is a relaxed structure of TlAg2Se2, with properties calculated at the PBE level.

- Formation energy from raw total energies: 0.121 eV/atom
- Polymorph energy (0 for the lowest one): 253 meV/atom

a = 4.216 Å, b = 4.216 Å, c = 7.266 Å
α = 73.14°, β = 73.14°, γ = 90.00°
Sites, in units of the cell vectors:
Ag 0.603 0.603 0.794
Ag 0.397 0.397 0.206
Se 0.250 0.750 0.500
Se 0.750 0.250 0.500
Tl 0.000 0.000 0.000

# 8
Below is a relaxed structure of LuHg2Ge, with properties calculated at the PBE level.

- Energy of formation: -316.0 meV per atom
- Polymorph energy (0 for the lowest one): 0 meV/atom

a = 4.896 Å, b = 4.254 Å, c = 4.254 Å
α = 90.00°, β = 90.00°, γ = 90.00°
Sites, in units of the cell vectors:
Lu 0.500 0.000 0.000
Hg 0.000 0.500 0.000
Hg 0.000 0.000 0.500
Ge 0.500 0.500 0.500